Material: Na2SrWF8
Method: DFT, PBE+U
State: relaxed

Properties
The space-group type is P2/m (10). The calculation puts the density of states at the Fermi level at 0.000 states/eV per atom. The total DFT energy (no corrections) comes out at -5.2566 eV per atom.

POSCAR file:
```
Na2SrWF8
1.0
3.778 0.000 0.000
0.000 7.886 0.000
-0.023 0.000 5.662
Na Sr W F
2 1 1 8
direct
0.000 0.238 0.000
0.000 0.762 0.000
0.500 0.000 0.500
0.500 0.500 0.500
0.001 0.500 0.704
0.002 0.000 0.760
0.499 0.292 0.275
0.499 0.708 0.275
0.501 0.292 0.725
0.501 0.708 0.725
0.998 0.000 0.240
0.999 0.500 0.296
```